First-principles (PBE) data for CaBeTcPb2 after structural relaxation, as listed in Alexandria.

Values from the calculation:
Uncorrected energy ... -4.42 eV/atom
Energy of formation from the pure elements ... 280 meV per atom
Symmetry ... No. 123
N(E_F) ... 2.99 states/eV per cell

a b c (Å): 5.298 5.298 4.526
angles (deg): 90.00 90.00 90.00
Atoms (fractional coordinates):
Ca (0.000, 0.000, 0.000)
Be (0.500, 0.500, 0.000)
Tc (0.500, 0.500, 0.500)
Pb (0.000, 0.500, 0.500)
Pb (0.500, 0.000, 0.500)

First-principles (PBE) data for CaYBePb2 after structural relaxation, as listed in Alexandria.

Values from the calculation:
Uncorrected energy ... -3.73 eV/atom
Energy of formation from the pure elements ... 193 meV per atom
Symmetry ... No. 123
N(E_F) ... 4.19 states/eV per cell

a b c (Å): 5.168 5.168 5.133
angles (deg): 90.00 90.00 90.00
Atoms (fractional coordinates):
Ca (0.000, 0.000, 0.000)
Y (0.500, 0.500, 0.000)
Be (0.000, 0.000, 0.500)
Pb (0.000, 0.500, 0.500)
Pb (0.500, 0.000, 0.500)

First-principles (PBE) data for CaBe2Pd3 after structural relaxation, as listed in Alexandria.

Values from the calculation:
Uncorrected energy ... -4.66 eV/atom
Energy of formation from the pure elements ... -485 meV per atom
Symmetry ... No. 191
N(E_F) ... 6.97 states/eV per cell

a b c (Å): 9.174 9.174 3.852
angles (deg): 90.00 90.00 120.00
Atoms (fractional coordinates):
Ca (0.000, 0.000, 0.000)
Ca (0.333, 0.667, 0.500)
Ca (0.667, 0.333, 0.500)
Be (0.178, 0.356, 0.000)
Be (0.178, 0.822, 0.000)
Be (0.356, 0.178, 0.000)
Be (0.644, 0.822, 0.000)
Be (0.822, 0.178, 0.000)
Be (0.822, 0.644, 0.000)
Pd (0.000, 0.294, 0.500)
Pd (0.000, 0.500, 0.000)
Pd (0.000, 0.706, 0.500)
Pd (0.294, 0.000, 0.500)
Pd (0.294, 0.294, 0.500)
Pd (0.500, 0.000, 0.000)
Pd (0.500, 0.500, 0.000)
Pd (0.706, 0.000, 0.500)
Pd (0.706, 0.706, 0.500)

First-principles (PBE) data for Ca2BePd2 after structural relaxation, as listed in Alexandria.

Values from the calculation:
Uncorrected energy ... -3.57 eV/atom
Energy of formation from the pure elements ... 55 meV per atom
Energy above the most stable polymorph in this dataset ... 0.630 eV/atom
Symmetry ... No. 127
N(E_F) ... 4.94 states/eV per cell

a b c (Å): 8.240 8.240 3.217
angles (deg): 90.00 90.00 90.00
Atoms (fractional coordinates):
Ca (0.160, 0.340, 0.000)
Ca (0.340, 0.840, 0.000)
Ca (0.660, 0.160, 0.000)
Ca (0.840, 0.660, 0.000)
Be (0.000, 0.000, 0.000)
Be (0.500, 0.500, 0.000)
Pd (0.137, 0.637, 0.500)
Pd (0.363, 0.137, 0.500)
Pd (0.637, 0.863, 0.500)
Pd (0.863, 0.363, 0.500)

First-principles (PBE) data for Ca2BePd6 after structural relaxation, as listed in Alexandria.

Values from the calculation:
Uncorrected energy ... -4.96 eV/atom
Energy of formation from the pure elements ... -641 meV per atom
Symmetry ... No. 225
N(E_F) ... 3.51 states/eV per cell

a b c (Å): 5.992 5.992 5.992
angles (deg): 60.00 60.00 60.00
Atoms (fractional coordinates):
Ca (0.250, 0.250, 0.250)
Ca (0.750, 0.750, 0.750)
Be (0.000, 0.000, 0.000)
Pd (0.262, 0.262, 0.738)
Pd (0.262, 0.738, 0.262)
Pd (0.262, 0.738, 0.738)
Pd (0.738, 0.262, 0.262)
Pd (0.738, 0.262, 0.738)
Pd (0.738, 0.738, 0.262)

First-principles (PBE) data for CaBePd3 after structural relaxation, as listed in Alexandria.

Values from the calculation:
Uncorrected energy ... -4.88 eV/atom
Energy of formation from the pure elements ... -621 meV per atom
Energy above the most stable polymorph in this dataset ... 0.000 eV/atom
Symmetry ... No. 194
N(E_F) ... 1.81 states/eV per cell

a b c (Å): 5.969 5.969 5.320
angles (deg): 90.00 90.00 120.00
Atoms (fractional coordinates):
Ca (0.333, 0.667, 0.250)
Ca (0.667, 0.333, 0.750)
Be (0.000, 0.000, 0.000)
Be (0.000, 0.000, 0.500)
Pd (0.175, 0.349, 0.750)
Pd (0.175, 0.825, 0.750)
Pd (0.349, 0.175, 0.250)
Pd (0.651, 0.825, 0.750)
Pd (0.825, 0.175, 0.250)
Pd (0.825, 0.651, 0.250)

First-principles (PBE) data for CaBePd after structural relaxation, as listed in Alexandria.

Values from the calculation:
Uncorrected energy ... -4.05 eV/atom
Energy of formation from the pure elements ... -408 meV per atom
Energy above the most stable polymorph in this dataset ... 0.000 eV/atom
Symmetry ... No. 187
N(E_F) ... 0.95 states/eV per cell

a b c (Å): 3.977 3.977 4.226
angles (deg): 90.00 90.00 120.00
Atoms (fractional coordinates):
Ca (0.000, 0.000, 0.000)
Be (0.333, 0.667, 0.500)
Pd (0.667, 0.333, 0.500)

First-principles (PBE) data for Ca2BePd3 after structural relaxation, as listed in Alexandria.

Values from the calculation:
Uncorrected energy ... -4.51 eV/atom
Energy of formation from the pure elements ... -627 meV per atom
Energy above the most stable polymorph in this dataset ... 0.000 eV/atom
Symmetry ... No. 166
N(E_F) ... 1.66 states/eV per cell

a b c (Å): 5.103 5.103 5.103
angles (deg): 66.71 66.71 66.71
Atoms (fractional coordinates):
Ca (0.128, 0.128, 0.128)
Ca (0.872, 0.872, 0.872)
Be (0.500, 0.500, 0.500)
Pd (0.000, 0.500, 0.500)
Pd (0.500, 0.000, 0.500)
Pd (0.500, 0.500, 0.000)

What is the formula in the first record? CaBeTcPb2

Repeat the eighth record exactly.
First-principles (PBE) data for Ca2BePd3 after structural relaxation, as listed in Alexandria.

Values from the calculation:
Uncorrected energy ... -4.51 eV/atom
Energy of formation from the pure elements ... -627 meV per atom
Energy above the most stable polymorph in this dataset ... 0.000 eV/atom
Symmetry ... No. 166
N(E_F) ... 1.66 states/eV per cell

a b c (Å): 5.103 5.103 5.103
angles (deg): 66.71 66.71 66.71
Atoms (fractional coordinates):
Ca (0.128, 0.128, 0.128)
Ca (0.872, 0.872, 0.872)
Be (0.500, 0.500, 0.500)
Pd (0.000, 0.500, 0.500)
Pd (0.500, 0.000, 0.500)
Pd (0.500, 0.500, 0.000)

Which of these has the highest N(E_F)? CaBe2Pd3

The highest energy of formation from the pure elements belongs to which entry? CaBeTcPb2